(1)
Entry from the Alexandria database: a relaxed YSc2Br crystal (PBE-GGA).

a = 5.961 Å, b = 5.961 Å, c = 5.961 Å
α = 135.27°, β = 135.27°, γ = 65.10°
Fractional positions:
Y 0.000 0.000 0.000
Sc 0.500 0.500 0.000
Sc 0.750 0.250 0.500
Br 0.250 0.750 0.500

Results
VASP energy = -20.75 eV for the cell shown
DOS at the Fermi energy = 7.820 states/eV per cell
Symmetry = No. 119
Formation energy (no corrections) = 0.013 eV/atom
Spin magnetization = 0.8 μB per formula unit


(2)
Entry from the Alexandria database: a relaxed Y2ScBr crystal (PBE-GGA).

a = 6.321 Å, b = 6.321 Å, c = 6.321 Å
α = 137.84°, β = 137.84°, γ = 61.15°
Fractional positions:
Y 0.000 0.000 0.000
Y 0.750 0.250 0.500
Sc 0.500 0.500 0.000
Br 0.250 0.750 0.500

Results
VASP energy = -21.03 eV for the cell shown
DOS at the Fermi energy = 6.471 states/eV per cell
Symmetry = No. 119
Formation energy (no corrections) = -0.025 eV/atom
Spin magnetization = 1.3 μB per formula unit


(3)
Entry from the Alexandria database: a relaxed YScBr2 crystal (PBE-GGA).

a = 3.634 Å, b = 4.715 Å, c = 6.094 Å
α = 90.00°, β = 92.73°, γ = 90.00°
Fractional positions:
Y 0.000 0.000 0.000
Sc 0.500 0.000 0.500
Br 0.274 0.500 0.255
Br 0.726 0.500 0.745

Results
VASP energy = -19.38 eV for the cell shown
DOS at the Fermi energy = 3.380 states/eV per cell
Symmetry = No. 10
Formation energy (no corrections) = -0.809 eV/atom
Spin magnetization = 0.0 μB per formula unit


(4)
Entry from the Alexandria database: a relaxed YScBr2 crystal (PBE-GGA).

a = 5.006 Å, b = 5.006 Å, c = 5.006 Å
α = 60.00°, β = 60.00°, γ = 60.00°
Fractional positions:
Y 0.000 0.000 0.000
Sc 0.500 0.500 0.500
Br 0.250 0.250 0.250
Br 0.750 0.750 0.750

Results
VASP energy = -18.83 eV for the cell shown
DOS at the Fermi energy = 1.637 states/eV per cell
Symmetry = No. 225
Formation energy (no corrections) = -0.673 eV/atom
Spin magnetization = 0.0 μB per formula unit


(5)
Entry from the Alexandria database: a relaxed YSc2Br crystal (PBE-GGA).

a = 3.402 Å, b = 3.402 Å, c = 9.513 Å
α = 90.00°, β = 90.00°, γ = 110.09°
Fractional positions:
Y 0.000 0.000 0.000
Sc 0.000 0.000 0.517
Sc 0.500 0.500 0.269
Br 0.500 0.500 0.747

Results
VASP energy = -22.26 eV for the cell shown
DOS at the Fermi energy = 5.370 states/eV per cell
Symmetry = No. 35
Formation energy (no corrections) = -0.365 eV/atom
Spin magnetization = 0.0 μB per formula unit


(6)
Entry from the Alexandria database: a relaxed YScBr crystal (PBE-GGA).

a = 4.814 Å, b = 4.814 Å, c = 4.814 Å
α = 60.00°, β = 60.00°, γ = 60.00°
Fractional positions:
Y 0.000 0.000 0.000
Sc 0.500 0.500 0.500
Br 0.750 0.750 0.750

Results
VASP energy = -14.66 eV for the cell shown
DOS at the Fermi energy = 3.748 states/eV per cell
Symmetry = No. 216
Formation energy (no corrections) = -0.065 eV/atom
Spin magnetization = 0.8 μB per formula unit


- Among the records above, which one has the lowest VASP energy?
  number 5


What did the sixth record say?
Entry from the Alexandria database: a relaxed YScBr crystal (PBE-GGA).

a = 4.814 Å, b = 4.814 Å, c = 4.814 Å
α = 60.00°, β = 60.00°, γ = 60.00°
Fractional positions:
Y 0.000 0.000 0.000
Sc 0.500 0.500 0.500
Br 0.750 0.750 0.750

Results
VASP energy = -14.66 eV for the cell shown
DOS at the Fermi energy = 3.748 states/eV per cell
Symmetry = No. 216
Formation energy (no corrections) = -0.065 eV/atom
Spin magnetization = 0.8 μB per formula unit